(one)
First-principles (PBE-GGA) data for a relaxed structure of NdHo3Hg2, as listed in Alexandria.

Summary:
The density of states at the Fermi level is 10.7 states/eV/cell. As for the symmetry: C2/m.

Lattice parameters (Å, degrees): 8.4702 8.4702 8.8805 113.85 113.85 36.75
Fractional coordinates of all 12 atoms:
Nd 0.1325 0.1325 0.1878
Nd 0.8675 0.8675 0.8122
Ho 0.0639 0.0639 0.7239
Ho 0.3064 0.3064 0.0008
Ho 0.3815 0.3815 0.4723
Ho 0.6185 0.6185 0.5277
Ho 0.6936 0.6936 0.9992
Ho 0.9361 0.9361 0.2761
Hg 0.2254 0.2254 0.6091
Hg 0.4901 0.4901 0.8310
Hg 0.5099 0.5099 0.1690
Hg 0.7746 0.7746 0.3909

***

(two)
First-principles (PBE-GGA) data for a relaxed structure of NdHo3Hg2, as listed in Alexandria.

Summary:
The density of states at the Fermi level is 6.1 states/eV/cell. As for the symmetry: Pmc2_1.

Lattice parameters (Å, degrees): 5.1030 9.2859 7.1691 90.00 90.00 90.00
Fractional coordinates of all 12 atoms:
Nd 0.0000 0.0573 0.0000
Nd 0.0000 0.9427 0.5000
Ho 0.0000 0.3287 0.6517
Ho 0.0000 0.6713 0.1517
Ho 0.5000 0.1799 0.3179
Ho 0.5000 0.4426 0.9686
Ho 0.5000 0.5574 0.4686
Ho 0.5000 0.8201 0.8179
Hg 0.0000 0.3548 0.2272
Hg 0.0000 0.6452 0.7272
Hg 0.5000 0.1502 0.7412
Hg 0.5000 0.8498 0.2412

***

Most stable = (two)

***

(one)
First-principles (PBE-GGA) data for a relaxed structure of NdHo2Hg8, as listed in Alexandria.

Summary:
The density of states at the Fermi level is 6.0 states/eV/cell. As for the symmetry: Immm.

Lattice parameters (Å, degrees): 8.5571 8.5571 8.5571 145.35 127.65 64.31
Fractional coordinates of all 11 atoms:
Nd 0.0000 0.0000 0.0000
Ho 0.3061 0.3061 0.0000
Ho 0.6939 0.6939 0.0000
Hg 0.1409 0.8498 0.2910
Hg 0.1561 0.6561 0.5000
Hg 0.2966 0.5000 0.7966
Hg 0.4412 0.1502 0.2910
Hg 0.5588 0.8498 0.7090
Hg 0.7034 0.5000 0.2034
Hg 0.8439 0.3439 0.5000
Hg 0.8591 0.1502 0.7090

***

(two)
First-principles (PBE-GGA) data for a relaxed structure of NdHo2Hg8, as listed in Alexandria.

Summary:
The density of states at the Fermi level is 5.1 states/eV/cell. As for the symmetry: C2/m.

Lattice parameters (Å, degrees): 8.4159 8.4159 7.2650 107.82 107.82 34.21
Fractional coordinates of all 11 atoms:
Nd 0.0000 0.0000 0.0000
Ho 0.2844 0.2844 0.3454
Ho 0.7156 0.7156 0.6546
Hg 0.0983 0.0983 0.4643
Hg 0.1779 0.1779 0.9065
Hg 0.3506 0.3506 0.8071
Hg 0.4680 0.4680 0.2717
Hg 0.5320 0.5320 0.7283
Hg 0.6494 0.6494 0.1929
Hg 0.8221 0.8221 0.0935
Hg 0.9017 0.9017 0.5357

***

Most stable = (two)

***

(one)
First-principles (PBE-GGA) data for a relaxed structure of TbNdHoHg, as listed in Alexandria.

Summary:
The density of states at the Fermi level is 4.9 states/eV/cell. As for the symmetry: P4mm.

Lattice parameters (Å, degrees): 3.6533 3.6533 8.8807 90.00 90.00 90.00
Fractional coordinates of all 4 atoms:
Tb 0.0000 0.0000 0.0000
Nd 0.5000 0.5000 0.2844
Ho 0.0000 0.0000 0.5667
Hg 0.5000 0.5000 0.7791

***

(two)
First-principles (PBE-GGA) data for a relaxed structure of TbNdHoHg, as listed in Alexandria.

Summary:
The density of states at the Fermi level is 5.2 states/eV/cell. As for the symmetry: F-43m.

Lattice parameters (Å, degrees): 5.4653 5.4653 5.4653 60.00 60.00 60.00
Fractional coordinates of all 4 atoms:
Tb 0.0000 0.0000 0.0000
Nd 0.5000 0.5000 0.5000
Ho 0.7500 0.7500 0.7500
Hg 0.2500 0.2500 0.2500

***

Most stable = (one)

***

(one)
First-principles (PBE-GGA) data for a relaxed structure of NdHoTlHg, as listed in Alexandria.

Summary:
The density of states at the Fermi level is 4.3 states/eV/cell. As for the symmetry: P4mm.

Lattice parameters (Å, degrees): 3.7961 3.7961 7.6886 90.00 90.00 90.00
Fractional coordinates of all 4 atoms:
Nd 0.0000 0.0000 0.0000
Ho 0.0000 0.0000 0.4813
Tl 0.5000 0.5000 0.7296
Hg 0.5000 0.5000 0.2629

***

(two)
First-principles (PBE-GGA) data for a relaxed structure of NdHoTlHg, as listed in Alexandria.

Summary:
The density of states at the Fermi level is 4.2 states/eV/cell. As for the symmetry: F-43m.

Lattice parameters (Å, degrees): 5.3955 5.3955 5.3955 60.00 60.00 60.00
Fractional coordinates of all 4 atoms:
Nd 0.0000 0.0000 0.0000
Ho 0.5000 0.5000 0.5000
Tl 0.2500 0.2500 0.2500
Hg 0.7500 0.7500 0.7500

***

Most stable = (one)

***

(one)
First-principles (PBE-GGA) data for a relaxed structure of Ho4NiHg2, as listed in Alexandria.

Summary:
The density of states at the Fermi level is 7.4 states/eV/cell. As for the symmetry: I4/mmm.

Lattice parameters (Å, degrees): 8.3428 8.3428 8.3428 144.48 144.48 51.11
Fractional coordinates of all 7 atoms:
Ho 0.0000 0.5000 0.5000
Ho 0.1802 0.1802 0.0000
Ho 0.5000 0.0000 0.5000
Ho 0.8198 0.8198 0.0000
Ni 0.0000 0.0000 0.0000
Hg 0.3757 0.3757 0.0000
Hg 0.6243 0.6243 0.0000

***

(two)
First-principles (PBE-GGA) data for a relaxed structure of Ho4NiHg2, as listed in Alexandria.

Summary:
The density of states at the Fermi level is 16.8 states/eV/cell. As for the symmetry: Pbam.

Lattice parameters (Å, degrees): 7.8497 12.7479 3.8776 90.00 90.00 90.00
Fractional coordinates of all 14 atoms:
Ho 0.1191 0.1957 0.0000
Ho 0.2240 0.9472 0.5000
Ho 0.2760 0.4472 0.5000
Ho 0.3809 0.6957 0.0000
Ho 0.6191 0.3043 0.0000
Ho 0.7240 0.5528 0.5000
Ho 0.7760 0.0528 0.5000
Ho 0.8809 0.8043 0.0000
Ni 0.0000 0.0000 0.0000
Ni 0.5000 0.5000 0.0000
Hg 0.0827 0.6645 0.5000
Hg 0.4173 0.1645 0.5000
Hg 0.5827 0.8355 0.5000
Hg 0.9173 0.3355 0.5000

***

Most stable = (two)

***

(one)
First-principles (PBE-GGA) data for a relaxed structure of Ho4Hg2O, as listed in Alexandria.

Summary:
The density of states at the Fermi level is 13.9 states/eV/cell. As for the symmetry: P2_1/m.

Lattice parameters (Å, degrees): 6.5606 6.8866 8.2221 90.00 106.87 90.00
Fractional coordinates of all 14 atoms:
Ho 0.0244 0.0048 0.2730
Ho 0.0244 0.4952 0.2730
Ho 0.3672 0.7500 0.0627
Ho 0.4234 0.7500 0.6323
Ho 0.5766 0.2500 0.3677
Ho 0.6328 0.2500 0.9373
Ho 0.9756 0.5048 0.7270
Ho 0.9756 0.9952 0.7270
Hg 0.2121 0.2500 0.0277
Hg 0.2837 0.2500 0.5958
Hg 0.7163 0.7500 0.4042
Hg 0.7879 0.7500 0.9723
O 0.2064 0.7500 0.7917
O 0.7936 0.2500 0.2083

***

(two)
First-principles (PBE-GGA) data for a relaxed structure of Ho4Hg2O, as listed in Alexandria.

Summary:
The density of states at the Fermi level is 1.5 states/eV/cell. As for the symmetry: I4/mmm.

Lattice parameters (Å, degrees): 8.2403 8.2403 8.2403 146.83 146.83 47.62
Fractional coordinates of all 7 atoms:
Ho 0.0000 0.5000 0.5000
Ho 0.1771 0.1771 0.0000
Ho 0.5000 0.0000 0.5000
Ho 0.8229 0.8229 0.0000
Hg 0.3693 0.3693 0.0000
Hg 0.6307 0.6307 0.0000
O 0.0000 0.0000 0.0000

***

Most stable = (one)